Entry 1:
Here is a relaxed structure of YBi2SbAu from Alexandria via LeMat-Bulk. Energies are from GGA-PBEsol.

Space-group type ... No. 123
Total DFT energy (no corrections) ... -22.08 eV per cell
ΔE_f (raw) ... 0.36 eV/atom

```
5
Lattice="-4.238 1.696 -2.027 1.520 -2.285 -5.091 -2.656 -4.937 1.423" Properties=species:S:1:pos:R:3 pbc="T T T"
Sb 0.000 0.000 0.000
Bi 0.760 -1.143 -2.546
Au -2.119 0.848 -1.013
Bi -1.328 -2.468 0.711
Y -2.687 -2.763 -2.848
```



Entry 2:
Here is a relaxed structure of CsCoP2S from Alexandria via LeMat-Bulk. Energies are from GGA-PBEsol.

Space-group type ... No. 123
Total DFT energy (no corrections) ... -12.34 eV per cell
ΔE_f (raw) ... 2.46 eV/atom

```
5
Lattice="-1.848 4.841 0.758 -4.795 -1.608 -1.422 -1.082 -1.196 5.000" Properties=species:S:1:pos:R:3 pbc="T T T"
Cs 0.000 0.000 0.000
P -0.541 -0.598 2.500
Co -3.863 1.018 2.168
P -2.397 -0.804 -0.711
S -0.924 2.420 0.379
```



Entry 3:
Here is a relaxed structure of CrRh2Pb from Alexandria via LeMat-Bulk. Energies are from GGA-PBEsol.

Space-group type ... No. 216
Total DFT energy (no corrections) ... -29.08 eV per cell

```
4
Lattice="4.452 0.000 0.000 2.226 3.855 0.000 2.226 1.285 3.635" Properties=species:S:1:pos:R:3 pbc="T T T"
Cr 4.452 2.570 1.817
Rh 6.677 3.855 2.726
Pb 2.226 1.285 0.909
Rh 0.000 0.000 0.000
```



Entry 4:
Here is a relaxed structure of Ba4Bi3PbO12 from Alexandria via LeMat-Bulk. Energies are from GGA-PBEsol.

Space-group type ... No. 12
Total DFT energy (no corrections) ... -124.89 eV per cell
ΔE_f (raw) ... -1.82 eV/atom

```
20
Lattice="6.137 0.009 -0.007 3.074 5.312 -0.007 2.994 1.730 10.043" Properties=species:S:1:pos:R:3 pbc="T T T"
O 1.318 0.761 1.637
O 4.331 4.267 6.085
Bi 0.000 0.000 0.000
Bi 3.041 1.757 2.519
Ba 6.057 3.499 8.787
O 2.825 3.385 1.090
O 10.887 6.289 8.391
O 4.772 2.757 3.432
Bi 9.164 5.294 7.510
O 9.380 3.666 8.939
Ba 6.147 3.551 1.242
O 6.345 5.430 3.943
Ba 9.154 5.288 3.805
O 5.860 1.620 6.085
O 7.874 2.784 3.943
O 7.432 4.294 6.596
Ba 3.050 1.762 6.224
Pb 6.102 3.525 5.014
O 7.861 6.294 8.939
O 4.343 0.756 1.090
```



Entry 5:
Here is a relaxed structure of In3Au7 from Alexandria via LeMat-Bulk. Energies are from GGA-PBEsol.

Space-group type ... No. 147
Total DFT energy (no corrections) ... -227.74 eV per cell

```
60
Lattice="8.616 0.000 0.000 0.000 12.165 0.000 0.000 -6.082 10.535" Properties=species:S:1:pos:R:3 pbc="T T T"
In 6.474 6.942 8.558
Au 0.000 0.000 0.000
In 2.143 4.801 8.802
In 0.339 -0.874 9.058
Au 4.942 4.583 8.213
In 3.982 8.275 3.203
Au 0.721 9.433 0.393
Au 7.521 1.632 9.379
In 4.635 0.829 4.970
Au 5.485 7.752 5.854
In 8.278 7.407 5.286
Au 6.822 4.492 1.466
Au 3.675 1.499 2.322
Au 1.095 8.938 3.276
Au 1.095 4.450 1.156
Au 5.797 6.082 3.512
Au 3.675 7.344 8.075
Au 7.896 -1.026 2.562
Au 5.485 3.219 3.787
Au 2.554 7.640 5.546
Au 7.158 0.000 7.023
In 8.278 6.957 1.477
Au 1.795 0.976 4.623
In 4.635 1.363 8.768
Au 7.521 -2.856 7.259
Au 2.819 0.000 7.023
Au 4.942 -3.322 10.397
Au 6.822 8.650 3.157
Au 1.095 4.859 6.103
Au 3.132 -1.193 9.641
In 2.143 -0.860 1.977
In 2.143 -3.941 10.291
Au 1.795 -2.567 7.378
Au 2.554 3.542 3.843
Au 0.721 1.706 2.169
Au 5.485 7.275 0.894
In 3.982 4.719 1.767
In 6.474 10.023 0.244
In 4.635 -2.193 7.332
Au 4.942 -1.261 2.460
Au 7.896 -3.351 10.142
Au 4.308 0.000 0.000
In 0.339 -1.325 5.249
Au 6.063 -0.983 9.389
Au 7.521 1.224 4.432
Au 7.896 4.377 8.366
Au 1.459 6.082 3.512
Au 6.063 2.540 6.692
Au 0.721 7.108 7.973
Au 1.795 1.591 9.069
Au 3.132 2.863 6.748
In 3.982 5.253 5.565
In 0.339 2.199 6.763
Au 2.554 7.065 1.146
Au 3.675 9.404 0.138
In 8.278 3.883 3.772
Au 6.063 -1.557 4.989
Au 3.132 -1.670 4.681
Au 6.822 5.106 5.912
In 6.474 1.282 1.733
```



Entry 6:
Here is a relaxed structure of Rb2AlInCl6 from Alexandria via LeMat-Bulk. Energies are from GGA-PBEsol.

Space-group type ... No. 225
Total DFT energy (no corrections) ... -36.67 eV per cell
ΔE_f (raw) ... -1.55 eV/atom

```
10
Lattice="7.432 0.000 0.000 3.716 6.436 0.000 3.716 2.145 6.068" Properties=species:S:1:pos:R:3 pbc="T T T"
Rb 11.148 6.436 4.551
Cl 5.361 5.487 1.343
Cl 9.503 5.487 1.343
In 7.432 4.291 3.034
Cl 7.432 1.900 1.343
Rb 3.716 2.145 1.517
Cl 7.432 6.682 4.725
Cl 9.503 3.095 4.725
Cl 5.361 3.095 4.725
Al 0.000 0.000 0.000
```



Entry 7:
Here is a relaxed structure of CaSi2Se2 from Alexandria via LeMat-Bulk. Energies are from GGA-PBEsol.

Space-group type ... No. 139
Total DFT energy (no corrections) ... -23.80 eV per cell
ΔE_f (raw) ... -0.49 eV/atom

```
5
Lattice="-0.655 0.563 3.430 -3.460 0.232 -0.699 1.290 -8.347 -0.207" Properties=species:S:1:pos:R:3 pbc="T T T"
Se -2.218 -1.269 1.608
Ca 0.000 0.000 0.000
Se -0.607 -6.283 0.916
Si -0.711 -3.693 2.294
Si -2.114 -3.859 0.230
```



Entry 8:
Here is a relaxed structure of ZrMoCl from Alexandria via LeMat-Bulk. Energies are from GGA-PBEsol.

Space-group type ... No. 216
Total DFT energy (no corrections) ... -20.26 eV per cell
ΔE_f (raw) ... 0.87 eV/atom

```
3
Lattice="-3.517 2.192 1.131 -1.367 -0.086 4.072 0.352 3.505 2.458" Properties=species:S:1:pos:R:3 pbc="T T T"
Zr 0.000 0.000 0.000
Cl -2.266 2.806 3.831
Mo -1.133 1.403 1.915
```



Entry 9:
Here is a relaxed structure of SrMg2GaH from Alexandria via LeMat-Bulk. Energies are from GGA-PBEsol.

Space-group type ... No. 123
Total DFT energy (no corrections) ... -10.64 eV per cell

```
5
Lattice="3.713 0.000 0.000 0.000 5.719 0.000 0.000 0.000 5.719" Properties=species:S:1:pos:R:3 pbc="T T T"
Sr 1.857 2.860 2.860
Mg 0.000 0.000 2.860
Mg 0.000 2.860 0.000
Ga 0.000 0.000 0.000
H 1.857 0.000 0.000
```



Entry 10:
Here is a relaxed structure of ReNi2Te from Alexandria via LeMat-Bulk. Energies are from GGA-PBEsol.

Space-group type ... No. 119
Total DFT energy (no corrections) ... -27.70 eV per cell
ΔE_f (raw) ... 0.37 eV/atom

```
4
Lattice="-0.645 -0.814 -3.748 3.427 -1.828 -0.193 -3.011 -1.818 2.931" Properties=species:S:1:pos:R:3 pbc="T T T"
Te -1.133 -1.976 -1.394
Ni 0.903 -2.484 0.384
Re 1.391 -1.321 -1.971
Ni 0.000 0.000 0.000
```



Entry 11:
Here is a relaxed structure of Ca2AlAs from Alexandria via LeMat-Bulk. Energies are from GGA-PBEsol.

Space-group type ... No. 38
Total DFT energy (no corrections) ... -16.25 eV per cell

```
4
Lattice="-3.428 1.229 -1.646 -1.300 -4.276 -0.486 -1.694 2.283 5.232" Properties=species:S:1:pos:R:3 pbc="T T T"
Al -1.565 -2.081 1.704
Ca -2.908 -1.998 4.565
As -2.577 -1.510 -0.613
Ca -2.956 0.691 1.819
```



Entry 12:
Here is a relaxed structure of BaH2C2O5 from Alexandria via LeMat-Bulk. Energies are from GGA-PBEsol.

Space-group type ... No. 12
Total DFT energy (no corrections) ... -140.55 eV per cell

```
20
Lattice="-5.303 2.158 -2.883 -2.533 -5.181 -2.799 -5.956 -2.217 2.684" Properties=species:S:1:pos:R:3 pbc="T T T"
O -9.364 -0.772 -0.028
C -2.215 -1.674 -0.130
C -11.024 -5.030 -2.851
O -4.019 -0.077 -0.115
O -8.091 -3.062 -0.709
O -5.700 -2.178 -2.290
Ba -8.030 -3.072 -3.572
C -2.767 -0.210 -0.147
O -10.724 -2.640 -2.913
H -5.041 -2.833 -2.656
O -4.428 -4.468 -2.970
O -3.067 -2.600 -0.086
O -9.772 -5.163 -2.883
Ba -5.762 -2.168 0.573
H -8.156 -3.982 -0.324
H -8.750 -2.407 -0.342
H -5.636 -1.258 -2.674
C -11.577 -3.566 -2.868
O -6.253 0.367 -3.026
O -7.539 -5.607 0.028
```



> Look up the total DFT energy (no corrections) of the fourth one.

-124.89 eV per cell